## NaMg3 (GGA-PBE)

Data for a geometry-optimized NaMg3 structure.

Lattice parameters (Å, degrees): 5.3610 5.3610 3.4823 90.00 90.00 90.00
Element x y z (fractional)
Mg (0.5000, 0.0000, 0.5000)
Mg (0.0000, 0.5000, 0.5000)
Mg (0.5000, 0.5000, 0.0000)
Na (0.0000, 0.0000, 0.0000)

energy = -1.43 eV per atom
space group = P4/mmm
D(E_F) = 0.190 states/eV/atom
V = 25.0 A^3/atom
E_form = 100 meV/atom

=====

## In2P (GGA-PBE)

Data for a geometry-optimized In2P structure.

Lattice parameters (Å, degrees): 2.8797 6.6820 4.0379 107.40 89.83 77.15
Element x y z (fractional)
In (0.1070, 0.1420, 0.1804)
In (0.8000, 0.7460, 0.4804)
P (0.9540, 0.4440, 0.8305)

energy = -3.48 eV per atom
space group = P-1
D(E_F) = 0.389 states/eV/atom
V = 24.0 A^3/atom
E_form = 146 meV/atom

=====

## AcTmSnPb (GGA-PBE)

Data for a geometry-optimized AcTmSnPb structure.

Lattice parameters (Å, degrees): 5.6141 5.6141 5.6141 60.00 60.00 60.00
Element x y z (fractional)
Tm (0.0000, 0.0000, 0.0000)
Sn (0.2500, 0.2500, 0.2500)
Ac (0.5000, 0.5000, 0.5000)
Pb (0.7500, 0.7500, 0.7500)

energy = -4.50 eV per atom
space group = F-43m
D(E_F) = 1.102 states/eV/atom
V = 31.3 A^3/atom
E_form = -427 meV/atom